Arrangement one

Compound: ZnCoBr
Source: Alexandria via LeMat-Bulk
Functional: PBE
Structure: optimized geometry

```
ZnCoBr
1.0
-1.554 1.554 6.006
1.554 -1.554 6.006
1.554 1.554 -6.006
Zn Co Br
1 1 1
Direct
0.000 0.000 0.000 Zn
0.389 0.389 0.000 Co
0.758 0.758 0.000 Br
```



Arrangement two

Compound: ZnCoBr
Source: Alexandria via LeMat-Bulk
Functional: PBE
Structure: optimized geometry

```
ZnCoBr
1.0
0.000 3.155 3.155
3.155 0.000 3.155
3.155 3.155 0.000
Zn Co Br
1 1 1
Direct
0.000 0.000 0.000 Zn
0.750 0.750 0.750 Co
0.250 0.250 0.250 Br
```



Most stable structure: arrangement one



Arrangement one

Compound: Zn3CoBr
Source: Alexandria via LeMat-Bulk
Functional: PBE
Structure: optimized geometry

```
Zn3CoBr
1.0
4.743 0.000 0.000
0.000 4.743 0.000
0.000 0.000 4.743
Zn Co Br
3 1 1
Direct
0.000 0.000 0.500 Zn
0.000 0.500 0.000 Zn
0.500 0.000 0.000 Zn
0.000 0.000 0.000 Co
0.500 0.500 0.500 Br
```



Arrangement two

Compound: Zn3CoBr
Source: Alexandria via LeMat-Bulk
Functional: PBE
Structure: optimized geometry

```
Zn3CoBr
1.0
5.089 0.000 0.000
0.000 5.089 0.000
0.000 0.000 5.089
Zn Co Br
3 1 1
Direct
0.000 0.000 0.500 Zn
0.000 0.500 0.000 Zn
0.500 0.000 0.000 Zn
0.500 0.500 0.500 Co
0.000 0.000 0.000 Br
```



Most stable structure: arrangement one